This record from the Alexandria database describes CaSc2In at its PBEsol-relaxed geometry. The functional is meta-GGA SCAN.

abc: 3.3325 4.5747 6.5953
angles: 90.00 90.21 90.00
Last column: nearest neighbours and their distance in Å.
Element x y z (fractional)
In: 0.5004 0.5000 0.7695  5 Sc 2.98-3.21, 4 Ca 3.30-3.31, 2 In 3.33
Sc: 0.4998 0.5000 0.2213  1 In 2.98, 6 Sc 3.19-3.33
Sc: 0.9988 0.0000 0.9990  6 Sc 3.19-3.33, 4 In 3.20-3.21, 2 Ca 3.22-3.37
Ca: 0.0009 0.0000 0.5101  6 Sc 3.22-3.41, 4 In 3.30-3.31, 2 Ca 3.33

Calculated formation energy   -0.8 eV per formula unit
Calculated total energy   -18.083 eV/atom
Symmetry   Pm, No. 6

This record from the Alexandria database describes CaScIn2 at its PBEsol-relaxed geometry. The functional is meta-GGA SCAN.

abc: 4.6960 5.4459 4.6960
angles: 115.54 90.00 115.54
Last column: nearest neighbours and their distance in Å.
Element x y z (fractional)
Sc: 0.0000 0.0000 0.0000  8 In 3.19, 4 Ca 3.32
In: 0.7500 0.5000 0.2500  4 Ca 3.19, 4 Sc 3.19, 4 In 3.32
In: 0.2500 0.5000 0.7500  4 Sc 3.19, 4 Ca 3.19, 4 In 3.32
Ca: 0.5000 0.0000 0.5000  8 In 3.19, 4 Sc 3.32

Calculated formation energy   -2.1 eV per formula unit
Calculated total energy   -23.193 eV/atom
Symmetry   I4/mmm, No. 139

This record from the Alexandria database describes CaScIn2 at its PBEsol-relaxed geometry. The functional is meta-GGA SCAN.

abc: 3.5825 3.5825 7.5177
angles: 90.00 90.00 90.00
Last column: nearest neighbours and their distance in Å.
Element x y z (fractional)
In: 0.0000 0.0000 0.2275  4 Sc 3.06, 4 Ca 3.26, 1 In 3.42
In: 0.0000 0.0000 0.7725  4 Sc 3.06, 4 Ca 3.26, 1 In 3.42
Sc: 0.5000 0.5000 0.0000  8 In 3.06
Ca: 0.5000 0.5000 0.5000  8 In 3.26, 4 Ca 3.58

Calculated formation energy   -2.4 eV per formula unit
Calculated total energy   -23.259 eV/atom
Symmetry   P4/mmm, No. 123

This record from the Alexandria database describes CaScIn2 at its PBEsol-relaxed geometry. The functional is meta-GGA SCAN.

abc: 3.5625 5.1877 5.1869
angles: 90.00 90.00 90.00
Last column: nearest neighbours and their distance in Å.
Element x y z (fractional)
Ca: 0.5000 0.5000 0.1236  8 In 3.15
In: 0.0000 0.5000 0.6237  4 Ca 3.15, 4 Sc 3.15
In: 0.0000 0.0000 0.1266  4 Sc 3.14-3.15, 4 Ca 3.15
Sc: 0.5000 0.0000 0.6261  8 In 3.14-3.15

Calculated formation energy   -2.2 eV per formula unit
Calculated total energy   -23.215 eV/atom
Symmetry   Pmm2, No. 25

This record from the Alexandria database describes CaScIn2 at its PBEsol-relaxed geometry. The functional is meta-GGA SCAN.

abc: 3.3055 4.2839 6.7646
angles: 90.00 90.00 90.00
Last column: nearest neighbours and their distance in Å.
Element x y z (fractional)
Sc: 0.5000 0.5000 0.0000  8 In 3.10, 2 Sc 3.31, 2 Ca 3.38
In: 0.0000 0.0000 0.2241  3 In 3.03-3.31, 4 Sc 3.10, 4 Ca 3.29
In: 0.0000 0.0000 0.7759  3 In 3.03-3.31, 4 Sc 3.10, 4 Ca 3.29
Ca: 0.5000 0.5000 0.5000  8 In 3.29, 2 Ca 3.31, 2 Sc 3.38

Calculated formation energy   -2.3 eV per formula unit
Calculated total energy   -23.246 eV/atom
Symmetry   Pmmm, No. 47

This record from the Alexandria database describes CaInSe at its PBEsol-relaxed geometry. The functional is meta-GGA SCAN.

abc: 3.9685 3.9685 6.0637
angles: 90.00 90.00 120.00
Last column: nearest neighbours and their distance in Å.
Element x y z (fractional)
Se: 0.6667 0.3333 0.3185  3 Ca 2.84, 3 In 3.00
In: 0.3333 0.6667 0.6385  3 Se 3.00, 3 Ca 3.36
Ca: 0.0000 0.0000 0.0430  3 Se 2.84

Calculated total energy   -21.949 eV/atom
Raw formation energy   -0.906 eV/atom
Symmetry   P3m1, No. 156

This record from the Alexandria database describes CaIn2Se at its PBEsol-relaxed geometry. The functional is meta-GGA SCAN.

abc: 4.1750 4.1750 6.4972
angles: 108.74 108.74 90.00
Last column: nearest neighbours and their distance in Å.
Element x y z (fractional)
Ca: 0.0000 0.0000 0.0000  4 Se 2.95
In: 0.2500 0.7500 0.5000  4 In 2.95
In: 0.7500 0.2500 0.5000  4 In 2.95
Se: 0.5000 0.5000 0.0000  4 Ca 2.95

Calculated total energy   -24.915 eV/atom
Raw formation energy   -0.786 eV/atom
Symmetry   I4/mmm, No. 139

This record from the Alexandria database describes CaIn2Se at its PBEsol-relaxed geometry. The functional is meta-GGA SCAN.

abc: 3.9521 3.9521 7.0978
angles: 90.00 90.00 90.00
Last column: nearest neighbours and their distance in Å.
Element x y z (fractional)
Ca: 0.5000 0.5000 0.6727  4 Se 2.83
In: 0.0000 0.0000 0.0078  1 Se 2.82, 4 In 3.14
In: 0.5000 0.5000 0.2091  4 In 3.14, 1 Ca 3.29
Se: 0.0000 0.0000 0.6104  1 In 2.82, 4 Ca 2.83

Calculated total energy   -24.947 eV/atom
Raw formation energy   -0.818 eV/atom
Symmetry   P4mm, No. 99